# 1
A relaxed structure of Tb8Y2Sc3, computed with GGA-PBE.

The structure belongs to space group C2/m (No. 12); the cell edges are 14.7417, 8.7234 and 6.5636 Å and the angles 90.00°, 98.74° and 90.00°. The distinct sites, in fractional coordinates, are Tb at (0.0880, 0.0000, 0.3896), Tb at (0.1091, 0.1828, 0.9282), Tb at (0.1915, 0.5000, 0.2971), Y at (0.2008, 0.5000, 0.7887), Sc at (0.0000, 0.3370, 0.5000) and Sc at (0.0000, 0.5000, 0.0000).

The value obtained for the total magnetization is 0.000 μB per formula unit. The uncorrected energy comes out at -5.0492 eV/atom. The value obtained for the formation energy is 0.256 eV/atom.

# 2
A relaxed structure of Pr4TePbN, computed with GGA-PBE.

The structure belongs to space group Cmcm (No. 63); the cell edges are 6.7490, 17.6560 and 6.8281 Å and the angles 90.00°, 90.00° and 90.00°. The distinct sites, in fractional coordinates, are Pr at (0.0000, 0.0741, 0.2500), Pr at (0.0000, 0.4178, 0.2500), Pr at (0.2500, 0.2500, 0.0000), Te at (0.0000, 0.1112, 0.7500), Pb at (0.0000, 0.3930, 0.7500) and N at (0.0000, 0.2827, 0.2500).

The value obtained for the total magnetization is 0.000 μB per formula unit. The uncorrected energy comes out at -5.8086 eV/atom. For the formation energy from raw total energies, the calculation gives -0.910 eV/atom.

# 3
A relaxed structure of LaHgGe2Pt5, computed with GGA-PBE.

The structure belongs to space group P4/mmm (No. 123); the cell edges are 4.3319, 4.3319 and 9.1281 Å and the angles 90.00°, 90.00° and 90.00°. The distinct sites, in fractional coordinates, are La at (0.0000, 0.0000, 0.0000), Hg at (0.0000, 0.0000, 0.5000), Ge at (0.5000, 0.5000, 0.3658), Pt at (0.0000, 0.5000, 0.2330) and Pt at (0.5000, 0.5000, 0.0000).

The value obtained for the total magnetization is 0.000 μB per formula unit. The uncorrected energy comes out at -5.4503 eV/atom. The value obtained for the formation energy is -0.487 eV/atom.

# 4
A relaxed structure of TbErPuTh, computed with GGA-PBE.

The structure belongs to space group F-43m (No. 216); the cell edges are 7.8657, 7.8657 and 7.8657 Å and the angles 90.00°, 90.00° and 90.00°. The distinct sites, in fractional coordinates, are Tb at (0.0000, 0.0000, 0.0000), Er at (0.2500, 0.2500, 0.2500), Pu at (0.2500, 0.2500, 0.7500) and Th at (0.0000, 0.0000, 0.5000).

The value obtained for the total magnetization is 8.096 μB per formula unit. The uncorrected energy comes out at -7.5340 eV/atom. The value obtained for the formation energy is 0.202 eV/atom.

# 5
A relaxed structure of Sm3Y2HoTe6, computed with GGA-PBE.

The structure belongs to space group C2/m (No. 12); the cell edges are 19.2111, 4.3730 and 8.8594 Å and the angles 90.00°, 103.77° and 90.00°. The distinct sites, in fractional coordinates, are Sm at (0.0000, 0.0000, 0.0000), Sm at (0.1676, 0.5000, 0.3329), Y at (0.1673, 0.5000, 0.8338), Ho at (0.0000, 0.0000, 0.5000), Te at (0.0014, 0.5000, 0.7443), Te at (0.1641, 0.0000, 0.5862) and Te at (0.1679, 0.0000, 0.0790).

The value obtained for the total magnetization is 0.000 μB per formula unit. The uncorrected energy comes out at -5.5475 eV/atom. For the formation energy from raw total energies, the calculation gives -1.338 eV/atom.

# 6
A relaxed structure of Mg4CuBr, computed with GGA-PBE.

The structure belongs to space group F-43m (No. 216); the cell edges are 8.2497, 8.2497 and 8.2497 Å and the angles 90.00°, 90.00° and 90.00°. The distinct sites, in fractional coordinates, are Mg at (0.1240, 0.1240, 0.3760), Cu at (0.2500, 0.2500, 0.7500) and Br at (0.0000, 0.0000, 0.0000).

The value obtained for the total magnetization is 0.000 μB per formula unit. The uncorrected energy comes out at -1.7935 eV/atom. For the formation energy from raw total energies, the calculation gives 0.231 eV/atom.

# 7
A relaxed structure of Cu3HgI, computed with GGA-PBE.

The structure belongs to space group Pm-3m (No. 221); the cell edges are 5.0735, 5.0735 and 5.0735 Å and the angles 90.00°, 90.00° and 90.00°. The distinct sites, in fractional coordinates, are Cu at (0.0000, 0.0000, 0.5000), Hg at (0.5000, 0.5000, 0.5000) and I at (0.0000, 0.0000, 0.0000).

The value obtained for the total magnetization is 0.000 μB per formula unit. The uncorrected energy comes out at -1.9236 eV/atom. For the formation energy from raw total energies, the calculation gives 0.905 eV/atom.

# 8
A relaxed structure of La2NdSmP4, computed with GGA-PBE.

The structure belongs to space group P2/m (No. 10); the cell edges are 7.2832, 4.2085 and 7.2867 Å and the angles 90.00°, 109.44° and 90.00°. The distinct sites, in fractional coordinates, are La at (0.0000, 0.0000, 0.0000), La at (0.5000, 0.5000, 0.0000), Nd at (0.0000, 0.5000, 0.5000), Sm at (0.5000, 0.0000, 0.5000), P at (0.2498, 0.0000, 0.7445) and P at (0.2538, 0.5000, 0.2566).

The value obtained for the total magnetization is 0.000 μB per formula unit. The uncorrected energy comes out at -6.6851 eV/atom. The value obtained for the formation energy is -1.562 eV/atom.